*w*
Here is an optimized crystal structure of LaTbThCd from Alexandria. Energies are from PBE-GGA.

Mass density   8.78 g cm⁻³
Space-group type   P4mm, No. 99

Lattice parameters (Å, degrees): 3.647 3.647 9.133 90.00 90.00 90.00
Fractional positions:
La: 0.000 0.000 0.083
Tb: 0.000 0.000 0.554
Th: 0.500 0.500 0.813
Cd: 0.500 0.500 0.335



*x*
Here is an optimized crystal structure of LaTbThCd from Alexandria. Energies are from PBE-GGA.

Mass density   8.65 g cm⁻³
Space-group type   F-43m, No. 216

Lattice parameters (Å, degrees): 5.586 5.586 5.586 60.00 60.00 60.00
Fractional positions:
Cd: 0.750 0.750 0.750
Tb: 0.250 0.250 0.250
Th: 0.000 0.000 0.000
La: 0.500 0.500 0.500



Stability summary: most stable *w*, least stable *x*.



*w*
Here is an optimized crystal structure of LaTbZnCd from Alexandria. Energies are from PBE-GGA.

Mass density   7.46 g cm⁻³
Space-group type   P4mm, No. 99

Lattice parameters (Å, degrees): 3.697 3.697 7.745 90.00 90.00 90.00
Fractional positions:
La: 0.500 0.500 0.126
Tb: 0.500 0.500 0.586
Zn: 0.000 0.000 0.380
Cd: 0.000 0.000 0.835



*x*
Here is an optimized crystal structure of LaTbZnCd from Alexandria. Energies are from PBE-GGA.

Mass density   7.36 g cm⁻³
Space-group type   F-43m, No. 216

Lattice parameters (Å, degrees): 5.333 5.333 5.333 60.00 60.00 60.00
Last column: magnetic moment on the atom in μB.
Fractional positions:
Zn: 0.750 0.750 0.750  0.01
Cd: 0.250 0.250 0.250  0.01
Tb: 0.500 0.500 0.500  0.10
La: 0.000 0.000 0.000  0.07



Stability summary: most stable *w*, least stable *x*.



*w*
Here is an optimized crystal structure of LaCd2Tc from Alexandria. Energies are from PBE-GGA.

Mass density   8.57 g cm⁻³
Space-group type   C2/m, No. 12

Lattice parameters (Å, degrees): 6.159 6.159 3.155 80.74 80.74 126.79
Fractional positions:
Cd: 0.000 0.000 0.000
Cd: 0.500 0.500 0.000
La: 0.500 0.000 0.500
Tc: 0.000 0.500 0.500



*x*
Here is an optimized crystal structure of LaCd2Tc from Alexandria. Energies are from PBE-GGA.

Mass density   8.51 g cm⁻³
Space-group type   Cmmm, No. 65

Lattice parameters (Å, degrees): 5.299 5.299 3.591 90.00 90.00 116.64
Last column: magnetic moment on the atom in μB.
Fractional positions:
Cd: 0.000 0.000 0.000  -0.01
Cd: 0.500 0.500 0.000  -0.01
La: 0.500 0.000 0.500  -0.03
Tc: 0.000 0.500 0.500  0.40



*y*
Here is an optimized crystal structure of LaCd2Tc from Alexandria. Energies are from PBE-GGA.

Mass density   8.85 g cm⁻³
Space-group type   R-3m, No. 166

Lattice parameters (Å, degrees): 10.830 10.830 10.830 16.25 16.25 16.25
Last column: magnetic moment on the atom in μB.
Fractional positions:
Cd: 0.011 0.011 0.011  0.00
Cd: 0.489 0.489 0.489  0.00
La: 0.250 0.250 0.250  0.44
Tc: 0.750 0.750 0.750  -0.23



Stability summary: most stable *x*, least stable *y*.